Record 1
Density functional theory data (PBE) for crystalline Ac4SnBiTe2 at its relaxed geometry.

Structure (POSCAR):
```
Ac4SnBiTe2
1.0
6.7872 0.0035 0.0000
-0.0033 6.7873 0.0001
-3.3919 -3.3953 6.8149
Ac Bi Te Sn
4 1 2 1
Cartesian
3.3919 3.3954 3.3350 Ac
3.3936 0.0019 6.8003 Ac
0.0000 0.0000 3.4801 Ac
3.3936 0.0017 0.0147 Ac
3.3936 0.0018 3.4075 Bi
-0.0017 3.3937 3.4076 Te
0.0000 0.0000 0.0000 Te
0.0000 0.0001 6.8150 Sn
```

DOS(E_F)   3.3 states/eV/cell
SG   No. 119
VASP energy   -5.054 eV per atom
Energy relative to the elements, uncorrected   -119 kJ/mol of atoms

Record 2
Density functional theory data (PBE) for crystalline BaLa2Tl at its relaxed geometry.

Structure (POSCAR):
```
BaLa2Tl
1.0
3.9039 0.0000 0.0000
0.0000 3.9039 0.0000
0.0000 0.0000 10.3622
La Tl Ba
2 1 1
Cartesian
0.0000 0.0000 0.5641 La
0.0000 0.0000 4.6170 La
1.9519 1.9519 2.5906 Tl
1.9519 1.9519 7.7717 Ba
```

DOS(E_F)   6.6 states/eV/cell
SG   No. 123
ΔH_f (0 K)   -91 meV/atom
VASP energy   -3.627 eV per atom

Q: Which formula does entry 2 have?
A: BaLa2Tl

Q: The lowest DOS(E_F) belongs to which entry?
A: Ac4SnBiTe2

Q: Number 2 is which compound?
A: BaLa2Tl

Q: The lowest DOS(E_F) belongs to which entry?
A: Ac4SnBiTe2